[1]
A plane-wave DFT calculation with PBE-GGA was carried out for crystalline Tb5Pd at its relaxed geometry.

Cell: 5.4934 3.7471 8.4933 Å, 102.74 90.00 90.00°
Sites, in units of the cell vectors:
Tb 0.5000 0.8305 0.6610
Tb 0.0000 0.6425 0.2850
Tb 0.5000 0.5000 0.0000
Tb 0.0000 0.3575 0.7150
Tb 0.5000 0.1695 0.3390
Pd 0.0000 0.0000 0.0000

Results
Spin magnetization ... 0.0000 μB per atom
DOS(E_F) ... 9.105 states/eV/cell
Total energy ... -4.858 eV/atom

[2]
A plane-wave DFT calculation with PBE-GGA was carried out for crystalline Rb2LiIBr6 at its relaxed geometry.

Cell: 8.1095 8.1095 7.9905 Å, 59.51 59.51 90.00°
Sites, in units of the cell vectors:
I 0.0000 0.0000 0.0000
Br 0.2398 0.2398 0.5204
Br 0.7602 0.7602 0.4796
Br 0.2727 0.2727 0.0000
Br 0.7273 0.7273 0.0000
Br 0.7273 0.2727 0.0000
Br 0.2727 0.7273 0.0000
Rb 0.7500 0.2500 0.5000
Rb 0.2500 0.7500 0.5000
Li 0.5000 0.5000 0.0000

Results
Spin magnetization ... 0.0000 μB per atom
DOS(E_F) ... 3.953 states/eV/cell
Uncorrected formation energy ... -8.9 eV per formula unit
Total energy ... -2.436 eV/atom

[3]
A plane-wave DFT calculation with PBE-GGA was carried out for crystalline Na3Sn3Au at its relaxed geometry.

Cell: 5.2518 8.7269 8.7131 Å, 119.95 90.00 90.00°
Sites, in units of the cell vectors:
Na 0.2500 0.5135 0.6108
Na 0.2500 0.0986 0.4879
Na 0.2500 0.3899 0.9026
Na 0.7500 0.4865 0.3892
Na 0.7500 0.9014 0.5121
Na 0.7500 0.6101 0.0974
Sn 0.7500 0.7496 0.8223
Sn 0.7500 0.0727 0.2507
Sn 0.7500 0.1777 0.9266
Sn 0.2500 0.2504 0.1777
Sn 0.2500 0.9273 0.7493
Sn 0.2500 0.8223 0.0734
Au 0.7500 0.3332 0.6668
Au 0.2500 0.6668 0.3332

Results
Spin magnetization ... 0.0000 μB per atom
DOS(E_F) ... 4.038 states/eV/cell
Total energy ... -2.924 eV/atom
Relative energy among the computed polymorphs ... 4.9 kJ/mol of formula units

[4]
A plane-wave DFT calculation with PBE-GGA was carried out for crystalline AgPBr at its relaxed geometry.

Cell: 6.7909 6.3264 3.6082 Å, 81.27 67.05 31.68°
Sites, in units of the cell vectors:
Ag 0.9929 0.9929 0.0071
Br 0.6474 0.6474 0.3526
P 0.3597 0.3597 0.6403

Results
Spin magnetization ... 0.0015 μB per atom
DOS(E_F) ... 2.157 states/eV/cell
Uncorrected formation energy ... 1.4 eV per formula unit
Total energy ... -2.840 eV/atom
Relative energy among the computed polymorphs ... 145.5 kJ/mol of formula units